[1]
Pm12SmPb6: relaxed, GGA-PBE.

```
Pm12SmPb6
1.0
8.397 0.786 0.941
-0.496 8.419 0.941
-0.496 -0.578 8.451
Pm Sm Pb
12 1 6
Direct
0.809 0.528 0.439
0.439 0.809 0.528
0.528 0.439 0.809
0.191 0.472 0.561
0.561 0.191 0.472
0.472 0.561 0.191
0.094 0.127 0.397
0.873 0.603 0.906
0.603 0.906 0.873
0.906 0.873 0.603
0.127 0.397 0.094
0.397 0.094 0.127
0.000 0.000 0.000
0.708 0.865 0.243
0.757 0.292 0.135
0.135 0.757 0.292
0.292 0.135 0.757
0.243 0.708 0.865
0.865 0.243 0.708
```

Calculated values
SG: R-3 (148)
Volume in Å³/atom: 32.06
Mass density in g cm⁻³: 8.54
M_tot in μB/cell: 0.0
Formation energy from the elements in eV/atom: -0.2697

[2]
AcCd12Hg4: relaxed, GGA-PBE.

```
AcCd12Hg4
1.0
-3.146 6.803 4.182
-4.276 -7.056 2.388
8.326 -0.920 1.891
Ac Cd Hg
1 12 4
Direct
0.000 0.000 0.000
0.793 0.146 0.648
0.854 0.352 0.207
0.353 0.498 0.146
0.146 0.352 0.498
0.647 0.502 0.854
0.146 0.648 0.793
0.648 0.793 0.146
0.352 0.207 0.854
0.854 0.648 0.502
0.498 0.146 0.353
0.502 0.854 0.647
0.207 0.854 0.352
0.000 0.500 0.000
0.000 0.000 0.500
0.500 0.000 0.000
0.500 0.500 0.500
```

Calculated values
SG: Im-3 (204)
Volume in Å³/atom: 28.68
Mass density in g cm⁻³: 8.10
M_tot in μB/cell: 0.0
Formation energy from the elements in eV/atom: 0.0669

[3]
LiMg3Ru: relaxed, GGA-PBE.

```
LiMg3Ru
1.0
4.980 0.000 0.000
0.000 4.980 0.000
0.000 0.000 4.980
Ru Mg Li
1 3 1
Direct
0.000 0.000 0.000
0.000 0.500 0.000
0.000 0.000 0.500
0.500 0.000 0.000
0.500 0.500 0.500
```

Calculated values
SG: Pm-3m (221)
Volume in Å³/atom: 24.71
Mass density in g cm⁻³: 2.43
Polymorph energy (0 for the lowest one) in meV per atom: 0.0
M_tot in μB/cell: 0.0
Formation energy from the elements in eV/atom: 0.2508

[4]
Li3Pm2SmTe6: relaxed, GGA-PBE.

```
Li3Pm2SmTe6
1.0
-7.574 0.553 -1.088
3.522 -6.756 -0.898
0.259 0.589 7.506
Li Pm Sm Te
3 2 1 6
Direct
0.167 0.833 0.500
0.833 0.167 0.500
0.500 0.500 0.500
0.333 0.667 0.000
0.667 0.333 0.000
0.000 0.000 0.000
0.913 0.581 0.740
0.755 0.755 0.260
0.087 0.419 0.260
0.581 0.913 0.740
0.245 0.245 0.740
0.419 0.087 0.260
```

Calculated values
SG: C2/m (12)
Volume in Å³/atom: 30.10
Mass density in g cm⁻³: 5.64
Uncorrected formation energy in eV per atom: -1.299
M_tot in μB/cell: 0.0

[5]
Y2AsIr: relaxed, GGA-PBE.

```
Y2AsIr
1.0
7.238 0.007 0.004
5.977 4.082 0.004
5.977 1.849 3.639
Y As Ir
2 1 1
Direct
0.041 0.041 0.041
0.210 0.210 0.210
0.467 0.467 0.467
0.783 0.783 0.783
```

Calculated values
SG: R3m (160)
Volume in Å³/atom: 26.82
Mass density in g cm⁻³: 6.89
M_tot in μB/cell: 0.0
Formation energy from the elements in eV/atom: -0.7048

[6]
SmGdMgCo: relaxed, GGA-PBE.

```
SmGdMgCo
1.0
-4.659 -1.911 -0.838
-0.606 -5.013 -0.745
-2.268 -2.856 3.572
Mg Gd Co Sm
1 1 1 1
Direct
0.000 0.000 0.000
0.250 0.250 0.250
0.500 0.500 0.500
0.750 0.750 0.750
```

Calculated values
SG: F-43m (216)
Volume in Å³/atom: 23.51
Mass density in g cm⁻³: 6.90
M_tot in μB/cell: 6.6
Formation energy from the elements in eV/atom: 0.0242

[7]
Sc2InMo: relaxed, GGA-PBE.

```
Sc2InMo
1.0
3.631 0.000 0.000
0.000 3.631 0.000
0.000 0.000 6.245
In Mo Sc
1 1 2
Direct
0.000 0.000 0.512
0.500 0.500 0.773
0.000 0.000 0.967
0.500 0.500 0.248
```

Calculated values
SG: P4mm (99)
Volume in Å³/atom: 20.58
Mass density in g cm⁻³: 6.06
M_tot in μB/cell: 0.0
Formation energy from the elements in eV/atom: 0.0346

[8]
InBiAu2: relaxed, GGA-PBE.

```
InBiAu2
1.0
3.470 0.000 0.000
0.000 3.470 0.000
0.000 0.000 7.573
Au Bi In
2 1 1
Direct
0.000 0.000 0.773
0.000 0.000 0.227
0.500 0.500 0.500
0.500 0.500 0.000
```

Calculated values
SG: P4/mmm (123)
Volume in Å³/atom: 22.80
Mass density in g cm⁻³: 13.07
M_tot in μB/cell: 0.0
Formation energy from the elements in eV/atom: -0.0210

[9]
YP2SBr: relaxed, GGA-PBE.

```
YP2SBr
1.0
-0.072 2.659 -4.076
-4.737 0.897 0.669
1.077 3.834 2.481
Y P S Br
1 2 1 1
Direct
0.500 0.500 0.500
0.000 0.500 0.000
0.500 0.000 0.000
0.000 0.000 0.500
0.000 0.000 0.000
```

Calculated values
SG: P4/mmm (123)
Volume in Å³/atom: 22.23
Mass density in g cm⁻³: 3.93
Polymorph energy (0 for the lowest one) in meV per atom: 0.0
Uncorrected formation energy in eV per atom: 0.436
M_tot in μB/cell: 0.0

[10]
BeSiAgW2: relaxed, GGA-PBE.

```
BeSiAgW2
1.0
4.279 0.000 0.000
0.000 4.186 0.000
0.000 0.000 4.279
Be Si Ag W
1 1 1 2
Direct
0.000 0.000 0.000
0.500 0.500 0.500
0.000 0.500 0.000
0.000 0.000 0.500
0.500 0.000 0.000
```

Calculated values
SG: P4/mmm (123)
Volume in Å³/atom: 15.33
Mass density in g cm⁻³: 11.11
Uncorrected formation energy in eV per atom: 1.059
M_tot in μB/cell: 0.0

[11]
Cd3CuAg: relaxed, GGA-PBE.

```
Cd3CuAg
1.0
-0.308 -3.408 2.590
-1.134 -7.571 -6.549
9.590 -2.996 0.744
Cd Cu Ag
12 4 4
Direct
0.635 0.194 0.036
0.135 0.036 0.194
0.865 0.964 0.806
0.365 0.806 0.964
0.854 0.305 0.488
0.354 0.488 0.305
0.646 0.512 0.695
0.146 0.695 0.512
0.886 0.613 0.112
0.386 0.112 0.613
0.614 0.888 0.387
0.114 0.387 0.888
0.250 0.762 0.238
0.250 0.113 0.887
0.750 0.238 0.762
0.750 0.887 0.113
0.992 0.332 0.186
0.492 0.186 0.332
0.508 0.814 0.668
0.008 0.668 0.814
```

Calculated values
SG: C2/c (15)
Volume in Å³/atom: 20.79
Mass density in g cm⁻³: 8.13
Polymorph energy (0 for the lowest one) in meV per atom: 0.0
M_tot in μB/cell: 0.0
Formation energy from the elements in eV/atom: 0.0400

[12]
HfVSi2: relaxed, GGA-PBE.

```
HfVSi2
1.0
-6.304 2.740 0.264
0.187 -0.234 6.872
-1.946 3.808 3.625
Si Hf V
4 2 2
Direct
0.600 0.125 0.250
0.150 0.625 0.250
0.375 0.400 0.750
0.875 0.850 0.750
0.000 0.000 0.000
0.750 0.250 0.500
0.500 0.500 0.000
0.250 0.750 0.500
```

Calculated values
SG: I-42d (122)
Volume in Å³/atom: 16.48
Mass density in g cm⁻³: 7.19
Polymorph energy (0 for the lowest one) in meV per atom: 250.8
Uncorrected formation energy in eV per atom: -0.113
M_tot in μB/cell: 0.0

Which value of M_tot does entry 11 give?
0.0 μB/cell

Which value of volume does entry 8 give?
22.80 Å³/atom

Which formula does entry 7 have?
Sc2InMo

Look up the mass density of the tenth one.
11.11 g cm⁻³